{"formula": "MgAgTe2", "functional": "PBE", "state": "relaxed", "lattice": [[-1.149, -3.788, -0.193], [1.267, -0.573, 3.712], [-5.761, 1.634, 2.218]], "species": ["Mg", "Te", "Ag", "Te"], "frac_coords": [[0.500, 0.500, 0.750], [0.000, 0.000, 0.502], [0.500, 0.500, 0.250], [0.000, 0.000, 0.998]], "e_tot_ev_per_atom": -2.78}

=====

{"formula": "PrErCdPt", "functional": "PBE", "state": "relaxed", "lattice": [[5.179, 0.000, 0.000], [2.589, 4.485, 0.000], [2.589, 1.495, 4.228]], "species": ["Pt", "Cd", "Pr", "Er"], "frac_coords": [[0.750, 0.750, 0.750], [0.250, 0.250, 0.250], [0.000, 0.000, 0.000], [0.500, 0.500, 0.500]], "e_tot_ev_per_atom": -4.73, "formation_energy_ev_per_atom": -0.65}

=====

{"formula": "Ho8Ga2Pb", "functional": "PBE", "state": "relaxed", "lattice": [[-2.804, 2.068, 3.406], [-5.695, -5.223, -1.517], [6.581, -3.832, 4.260]], "species": ["Ga", "Ho", "Ga", "Ho", "Ho", "Ho", "Ho", "Ho", "Pb", "Ho", "Ho"], "frac_coords": [[0.784, 0.338, 0.568], [0.680, 0.947, 0.359], [0.216, 0.662, 0.432], [0.320, 0.053, 0.641], [0.602, 0.461, 0.204], [0.833, 0.753, 0.665], [0.167, 0.247, 0.335], [0.398, 0.539, 0.796], [0.500, 0.000, 0.000], [0.950, 0.269, 0.899], [0.050, 0.731, 0.101]], "e_tot_ev_per_atom": -4.51, "formation_energy_ev_per_atom": -0.30}

=====

{"formula": "Fe2MoCl", "functional": "PBE", "state": "relaxed", "lattice": [[-0.863, 2.245, -3.869], [-0.833, -3.952, -2.107], [-2.725, 0.191, 0.719]], "species": ["Mo", "Fe", "Cl", "Fe"], "frac_coords": [[0.500, 0.000, 0.500], [0.000, 0.000, 0.000], [0.000, 0.500, 0.500], [0.500, 0.500, 0.000]], "de_polymorph_mev_per_atom": 635.5, "e_tot_ev_per_atom": -6.59}

=====

{"formula": "Y2FeMo", "functional": "PBE", "state": "relaxed", "lattice": [[-3.675, -3.163, -0.405], [-1.094, -4.641, -0.968], [0.109, -2.007, 5.771]], "species": ["Mo", "Y", "Fe", "Y"], "frac_coords": [[0.750, 0.750, 0.750], [0.503, 0.503, 0.498], [0.250, 0.250, 0.250], [0.997, 0.997, 0.002]], "de_polymorph_mev_per_atom": 492.6, "e_tot_ev_per_atom": -7.41, "formation_energy_ev_per_atom": 0.65}

=====

{"formula": "Er3Tm2ScAs6", "functional": "PBE", "state": "relaxed", "lattice": [[4.045, 0.000, 0.000], [0.000, 8.081, 0.292], [-2.023, -2.325, 8.499]], "species": ["Tm", "Sc", "As", "Er", "As", "As", "Er", "Er", "Tm", "As", "As", "As"], "frac_coords": [[0.834, 0.668, 0.668], [0.500, 0.000, 0.000], [0.333, 0.417, 0.666], [0.167, 0.834, 0.334], [0.667, 0.583, 0.334], [0.337, 0.918, 0.673], [0.500, 0.500, 0.000], [0.833, 0.166, 0.666], [0.166, 0.332, 0.332], [0.000, 0.759, 0.001], [0.663, 0.082, 0.327], [0.000, 0.241, 0.999]], "e_tot_ev_per_atom": -6.22, "formation_energy_ev_per_atom": -1.48}

=====

{"formula": "Zn2InFe", "functional": "PBE", "state": "relaxed", "lattice": [[-0.553, 0.362, 3.057], [-1.639, -2.664, 0.020], [5.438, -3.335, 1.378]], "species": ["In", "Fe", "Zn", "Zn"], "frac_coords": [[0.500, 0.500, 0.726], [0.000, 0.000, 0.460], [0.000, 0.000, 0.044], [0.500, 0.500, 0.270]], "e_tot_ev_per_atom": -3.23, "formation_energy_ev_per_atom": 0.20}

=====

{"formula": "MgBeTe4", "functional": "PBE", "state": "relaxed", "lattice": [[-3.824, 4.685, 1.949], [-1.287, 4.869, -3.873], [-5.804, 0.615, -2.510]], "species": ["Te", "Te", "Te", "Be", "Mg", "Te"], "frac_coords": [[0.375, 0.375, 0.375], [0.874, 0.375, 0.375], [0.375, 0.874, 0.375], [0.750, 0.750, 0.750], [0.000, 0.000, 0.000], [0.375, 0.375, 0.874]], "e_tot_ev_per_atom": -2.28}

=====

{"formula": "CaCo2Cl", "functional": "PBE", "state": "relaxed", "lattice": [[-3.452, -0.794, 2.865], [-3.480, 2.930, 0.241], [-4.087, -1.179, -1.630]], "species": ["Co", "Ca", "Co", "Cl"], "frac_coords": [[0.750, 0.750, 0.750], [0.500, 0.500, 0.500], [0.250, 0.250, 0.250], [0.000, 0.000, 0.000]], "de_polymorph_mev_per_atom": 1016.8, "e_tot_ev_per_atom": -3.76}

=====

{"formula": "ThBeTe", "functional": "PBE", "state": "relaxed", "lattice": [[-1.998, 3.671, 1.615], [-3.643, -1.674, -0.702], [1.070, -5.902, 8.526]], "species": ["Be", "Th", "Th", "Te", "Be", "Te"], "frac_coords": [[0.521, 0.250, 0.041], [0.932, 0.250, 0.864], [0.068, 0.750, 0.136], [0.823, 0.750, 0.646], [0.479, 0.750, 0.959], [0.177, 0.250, 0.354]], "e_tot_ev_per_atom": -4.87}

=====

{"formula": "Dy6HoIn5", "functional": "PBE", "state": "relaxed", "lattice": [[4.759, 0.020, -1.389], [-1.210, 7.751, -4.037], [0.056, -0.305, 9.039]], "species": ["Ho", "In", "Dy", "Dy", "In", "Dy", "Dy", "In", "Dy", "In", "Dy", "In"], "frac_coords": [[0.000, 0.000, 0.000], [0.348, 0.848, 0.696], [0.170, 0.432, 0.340], [0.170, 0.908, 0.340], [0.324, 0.324, 0.648], [0.500, 0.729, 0.000], [0.830, 0.092, 0.660], [0.652, 0.152, 0.304], [0.500, 0.271, 0.000], [0.676, 0.676, 0.352], [0.830, 0.568, 0.660], [0.000, 0.500, 0.000]], "e_tot_ev_per_atom": -4.21, "formation_energy_ev_per_atom": -0.38}

=====

{"formula": "H3WBr6", "functional": "PBE", "state": "relaxed", "lattice": [[8.130, -0.430, 0.556], [0.489, 8.126, 0.556], [-0.482, -0.430, 8.134]], "species": ["H", "Br", "H", "Br", "Br", "H", "Br", "H", "Br", "Br", "W", "Br", "H", "Br", "H", "W", "Br", "Br", "Br", "Br"], "frac_coords": [[0.250, 0.750, 0.251], [0.080, 0.718, 0.874], [0.750, 0.250, 0.749], [0.920, 0.282, 0.126], [0.126, 0.920, 0.282], [0.250, 0.749, 0.750], [0.282, 0.126, 0.920], [0.750, 0.251, 0.250], [0.419, 0.781, 0.628], [0.372, 0.581, 0.219], [0.500, 0.500, 0.500], [0.628, 0.419, 0.781], [0.251, 0.250, 0.750], [0.581, 0.219, 0.372], [0.749, 0.750, 0.250], [0.000, 0.000, 0.000], [0.874, 0.080, 0.718], [0.781, 0.628, 0.419], [0.718, 0.874, 0.080], [0.219, 0.372, 0.581]], "e_tot_ev_per_atom": -3.52}

=====

{"formula": "KRbHgPd", "functional": "PBE", "state": "relaxed", "lattice": [[5.794, 0.000, 0.000], [2.897, 5.018, 0.000], [2.897, 1.673, 4.731]], "species": ["Pd", "K", "Hg", "Rb"], "frac_coords": [[0.750, 0.750, 0.750], [0.500, 0.500, 0.500], [0.250, 0.250, 0.250], [0.000, 0.000, 0.000]], "de_polymorph_mev_per_atom": 164.7, "e_tot_ev_per_atom": -1.87, "formation_energy_ev_per_atom": 0.02}

=====

{"formula": "CoRe2Tc", "functional": "PBE", "state": "relaxed", "lattice": [[4.307, 0.000, 0.000], [2.153, 3.730, 0.000], [2.153, 1.243, 3.517]], "species": ["Co", "Re", "Re", "Tc"], "frac_coords": [[0.750, 0.750, 0.750], [0.250, 0.250, 0.250], [0.000, 0.000, 0.000], [0.500, 0.500, 0.500]], "de_polymorph_mev_per_atom": 208.5, "e_tot_ev_per_atom": -10.36, "formation_energy_ev_per_atom": 0.23}

=====

{"formula": "Ca3Ni2Sn2", "functional": "PBE", "state": "relaxed", "lattice": [[5.823, 0.000, 0.000], [0.000, 8.502, 0.000], [0.000, 0.000, 13.420]], "species": ["Sn", "Sn", "Ca", "Ca", "Ca", "Ca", "Sn", "Ca", "Ni", "Ca", "Sn", "Ca", "Sn", "Sn", "Ni", "Ca", "Sn", "Ni", "Ca", "Ca", "Ca", "Ni", "Ni", "Ni", "Ni", "Ni", "Ca", "Sn"], "frac_coords": [[0.365, 0.250, 0.000], [0.168, 0.594, 0.750], [0.851, 0.394, 0.900], [0.652, 0.753, 0.250], [0.851, 0.394, 0.600], [0.348, 0.247, 0.750], [0.832, 0.406, 0.250], [0.851, 0.106, 0.100], [0.614, 0.027, 0.584], [0.348, 0.253, 0.250], [0.168, 0.906, 0.250], [0.149, 0.606, 0.400], [0.635, 0.750, 0.000], [0.832, 0.094, 0.750], [0.386, 0.973, 0.084], [0.149, 0.894, 0.900], [0.365, 0.250, 0.500], [0.386, 0.527, 0.916], [0.851, 0.106, 0.400], [0.652, 0.747, 0.750], [0.149, 0.894, 0.600], [0.614, 0.027, 0.916], [0.614, 0.473, 0.084], [0.614, 0.473, 0.416], [0.386, 0.527, 0.584], [0.386, 0.973, 0.416], [0.149, 0.606, 0.100], [0.635, 0.750, 0.500]], "e_tot_ev_per_atom": -4.16, "formation_energy_ev_per_atom": -0.51}

=====

{"formula": "NbV12Cr6", "functional": "PBE", "state": "relaxed", "lattice": [[-5.124, 3.127, -2.954], [2.349, -3.965, -4.851], [-3.034, -4.301, 4.131]], "species": ["Nb", "V", "V", "V", "Cr", "Cr", "V", "Cr", "V", "Cr", "V", "V", "V", "V", "Cr", "V", "V", "V", "Cr"], "frac_coords": [[0.000, 0.000, 0.000], [0.136, 0.398, 0.398], [0.602, 0.602, 0.864], [0.885, 0.115, 0.500], [0.699, 0.289, 0.289], [0.711, 0.711, 0.301], [0.398, 0.136, 0.398], [0.301, 0.711, 0.711], [0.500, 0.885, 0.115], [0.289, 0.289, 0.699], [0.885, 0.500, 0.115], [0.115, 0.885, 0.500], [0.864, 0.602, 0.602], [0.115, 0.500, 0.885], [0.711, 0.301, 0.711], [0.398, 0.398, 0.136], [0.602, 0.864, 0.602], [0.500, 0.115, 0.885], [0.289, 0.699, 0.289]], "e_tot_ev_per_atom": -8.84, "formation_energy_ev_per_atom": 0.49}

=====

{"formula": "CaCrPb4", "functional": "PBE", "state": "relaxed", "lattice": [[-2.068, -5.999, 1.197], [-2.137, -1.563, 5.890], [-6.287, -1.116, 0.963]], "species": ["Pb", "Cr", "Ca", "Pb", "Pb", "Pb"], "frac_coords": [[0.375, 0.375, 0.375], [0.000, 0.000, 0.000], [0.750, 0.750, 0.750], [0.874, 0.375, 0.375], [0.375, 0.874, 0.375], [0.375, 0.375, 0.874]], "e_tot_ev_per_atom": -4.13, "formation_energy_ev_per_atom": 0.28}

=====

{"formula": "Sr4Al3Zn", "functional": "PBE", "state": "relaxed", "lattice": [[4.929, 0.000, 0.000], [0.000, 4.552, 0.000], [0.000, 0.000, 11.852]], "species": ["Sr", "Sr", "Sr", "Zn", "Al", "Al", "Sr", "Al"], "frac_coords": [[0.000, 0.500, 0.858], [0.500, 0.500, 0.357], [0.000, 0.000, 0.143], [0.500, 0.500, 0.053], [0.000, 0.000, 0.441], [0.000, 0.500, 0.559], [0.500, 0.000, 0.645], [0.500, 0.000, 0.946]], "e_tot_ev_per_atom": -2.57, "formation_energy_ev_per_atom": -0.17}

=====

{"formula": "Ba2LaP", "functional": "PBE", "state": "relaxed", "lattice": [[5.680, 0.000, 0.000], [2.840, 4.919, 0.000], [2.840, 1.640, 4.638]], "species": ["Ba", "P", "La", "Ba"], "frac_coords": [[0.000, 0.000, 0.000], [0.750, 0.750, 0.750], [0.500, 0.500, 0.500], [0.250, 0.250, 0.250]], "e_tot_ev_per_atom": -3.49, "formation_energy_ev_per_atom": 0.05}

=====

{"formula": "Cd2SnCl", "functional": "PBE", "state": "relaxed", "lattice": [[0.000, 3.699, 3.699], [3.699, 0.000, 3.699], [3.699, 3.699, 0.000]], "species": ["Sn", "Cl", "Cd", "Cd"], "frac_coords": [[0.500, 0.500, 0.500], [0.000, 0.000, 0.000], [0.250, 0.250, 0.250], [0.750, 0.750, 0.750]], "de_polymorph_mev_per_atom": 213.1, "e_tot_ev_per_atom": -1.95}